(1)
Cd2OF2 | GGA-PBE | optimized geometry

a b c (Å): 6.2309 6.2309 4.3496
angles (deg): 110.18 110.18 95.43
With the nearest neighbours (Å) after each atom.
Fractional coordinates of all 10 atoms:
Cd1 0.1188 0.8812 0.7500  3 O 2.19-2.45, 2 F 2.36
Cd2 0.3797 0.6203 0.2500  1 O 2.15, 2 F 2.37
Cd3 0.8812 0.1188 0.2500  3 O 2.19-2.45, 2 F 2.36
Cd4 0.6203 0.3797 0.7500  1 O 2.15, 2 F 2.37
F1 0.2283 0.4267 0.5731  4 Cd 2.36-2.54, 1 F 2.48
F2 0.4267 0.2283 0.0731  4 Cd 2.36-2.54, 1 F 2.48
F3 0.5733 0.7717 0.9269  4 Cd 2.36-2.54, 1 F 2.48
F4 0.7717 0.5733 0.4269  4 Cd 2.36-2.54, 1 F 2.48
O1 0.1468 0.8532 0.2500  3 Cd 2.15-2.19
O2 0.8532 0.1468 0.7500  3 Cd 2.15-2.19

Calculated values
The calculation puts the total energy at -36.8 eV/cell. The value obtained for the magnetic moment is 0.000 μB per atom. The space group is No. 15. For the density of states at the Fermi level, the calculation gives 0.03 states/eV per cell. The calculated volume comes out at 14.43 A^3/atom.



(2)
KMg6Cd | GGA-PBE | optimized geometry

a b c (Å): 6.7431 6.7431 5.3540
angles (deg): 90.00 90.00 120.92
With the nearest neighbours (Å) after each atom.
Fractional coordinates of all 8 atoms:
K1 0.1767 0.8233 0.0000  10 Mg 3.33-3.42, 2 Cd 3.36
Mg1 0.3350 0.1892 0.5000  1 Cd 3.06, 7 Mg 3.16-3.38, 2 K 3.42
Mg2 0.6734 0.8304 0.0000  8 Mg 3.21-3.50, 2 Cd 3.27, 2 K 3.33-3.42
Mg3 0.8259 0.1741 0.5000  10 Mg 3.32-3.38, 2 Cd 3.34
Mg4 0.1696 0.3266 0.0000  8 Mg 3.21-3.50, 2 Cd 3.27, 2 K 3.33-3.42
Mg5 0.6587 0.3413 0.0000  10 Mg 3.25-3.50, 2 K 3.33
Mg6 0.8108 0.6650 0.5000  1 Cd 3.06, 7 Mg 3.16-3.38, 2 K 3.42
Cd1 0.3499 0.6501 0.5000  8 Mg 3.06-3.34, 2 K 3.36

Calculated values
The value obtained for the magnetic moment is 0.000 μB per atom. The formation energy comes out at 0.117 eV per atom. The space group is No. 38. For the density of states at the Fermi level, the calculation gives 1.39 states/eV per cell. The calculated volume comes out at 26.11 A^3/atom.



(3)
Er2Sc3Pd2 | GGA-PBE | optimized geometry

a b c (Å): 3.5912 6.1435 8.5471
angles (deg): 115.12 90.00 106.99
With the nearest neighbours (Å) after each atom.
Fractional coordinates of all 7 atoms:
Pd1 0.1648 0.3296 0.2341  5 Sc 2.75-2.84, 2 Er 2.96
Pd2 0.8352 0.6704 0.7659  5 Sc 2.75-2.84, 2 Er 2.96
Er1 0.8501 0.7003 0.1935  2 Pd 2.96
Er2 0.1499 0.2997 0.8065  2 Pd 2.96
Sc1 0.6133 0.2266 0.4413  3 Pd 2.77-2.84
Sc2 0.5000 0.0000 0.0000  4 Pd 2.75
Sc3 0.3867 0.7734 0.5587  3 Pd 2.77-2.84

Calculated values
The value obtained for the magnetic moment is 0.000 μB per atom. The formation energy comes out at -0.524 eV per atom. The space group is No. 12. For the density of states at the Fermi level, the calculation gives 9.43 states/eV per cell. The calculated volume comes out at 23.09 A^3/atom.